Entry 1:
DFT (PBE) results for a relaxed structure of Ba2CuAu.

Results
Excess energy over the best structure of this formula in the dataset = 0.338 eV per atom
N(E_F) = 4.919 states/eV per cell
Calculated total energy = -0.20941 Ry/atom
Size of the total moment = 0.00 μB/cell
SG = F-43m (216)

Cell lengths 5.4268, 5.4268, 5.4268 Å; angles 60.00, 60.00, 60.00 degrees
Closest atoms and distances in Å follow each position.
Element x y z (fractional)
1 Au 0.5000 0.5000 0.5000  4 Cu 3.32, 4 Ba 3.32
2 Ba 0.0000 0.0000 0.0000  4 Ba 3.32, 4 Cu 3.32
3 Ba 0.2500 0.2500 0.2500  4 Ba 3.32, 4 Au 3.32
4 Cu 0.7500 0.7500 0.7500  4 Au 3.32, 4 Ba 3.32


Entry 2:
DFT (PBE) results for a relaxed structure of Ba2CuAu2.

Results
Excess energy over the best structure of this formula in the dataset = 0.136 eV per atom
N(E_F) = 4.682 states/eV per cell
Calculated total energy = -0.24264 Ry/atom
Size of the total moment = 0.00 μB/cell
SG = P4/mbm (127)

Cell lengths 8.3452, 8.3452, 4.4984 Å; angles 90.00, 90.00, 90.00 degrees
Closest atoms and distances in Å follow each position.
Element x y z (fractional)
1 Au 0.3753 0.8753 0.0000  1 Au 2.94, 2 Ba 3.24
2 Au 0.8753 0.6247 0.0000  1 Au 2.94, 2 Ba 3.24
3 Au 0.6247 0.1247 0.0000  1 Au 2.94, 2 Ba 3.24
4 Au 0.1247 0.3753 0.0000  1 Au 2.94, 2 Ba 3.24
5 Ba 0.1773 0.6773 0.5000  6 Au 3.24-3.41
6 Ba 0.6773 0.8227 0.5000  6 Au 3.24-3.41
7 Ba 0.8227 0.3227 0.5000  6 Au 3.24-3.41
8 Ba 0.3227 0.1773 0.5000  6 Au 3.24-3.41
9 Cu 0.0000 0.0000 0.0000  4 Au 3.30
10 Cu 0.5000 0.5000 0.0000  4 Au 3.30


Entry 3:
DFT (PBE) results for a relaxed structure of Ba2CuAu.

Results
Excess energy over the best structure of this formula in the dataset = 0.300 eV per atom
N(E_F) = 10.130 states/eV per cell
Calculated total energy = -0.21218 Ry/atom
Size of the total moment = 0.00 μB/cell
SG = I-42d (122)

Cell lengths 8.6044, 8.6044, 7.3503 Å; angles 54.18, 54.18, 90.00 degrees
Closest atoms and distances in Å follow each position.
Element x y z (fractional)
1 Au 0.0000 0.0000 0.0000  4 Ba 3.25
2 Au 0.7500 0.2500 0.5000  4 Ba 3.25
3 Ba 0.6191 0.1250 0.2500  2 Cu 3.18, 2 Au 3.25
4 Ba 0.1309 0.6250 0.2500  2 Cu 3.18, 2 Au 3.25
5 Ba 0.3750 0.3809 0.7500  2 Cu 3.18, 2 Au 3.25
6 Ba 0.8750 0.8691 0.7500  2 Cu 3.18, 2 Au 3.25
7 Cu 0.5000 0.5000 0.0000  4 Ba 3.18
8 Cu 0.2500 0.7500 0.5000  4 Ba 3.18


Entry 4:
DFT (PBE) results for a relaxed structure of BaCu4Au8.

Results
N(E_F) = 2.403 states/eV per cell
Calculated total energy = -0.26552 Ry/atom
Size of the total moment = 0.00 μB/cell
SG = I4/mmm (139)

Cell lengths 5.3789, 7.1408, 7.1408 Å; angles 81.85, 67.87, 67.87 degrees
Closest atoms and distances in Å follow each position.
Element x y z (fractional)
1 Ba 0.0000 0.0000 0.0000  12 Au 3.23-3.43, 8 Cu 3.57
2 Cu 0.0000 0.0000 0.5000  2 Cu 2.69, 8 Au 2.71-2.84
3 Cu 0.5000 0.0000 0.5000  2 Cu 2.69, 8 Au 2.71-2.84
4 Cu 0.0000 0.5000 0.0000  2 Cu 2.69, 8 Au 2.71-2.84
5 Cu 0.5000 0.5000 0.0000  2 Cu 2.69, 8 Au 2.71-2.84
6 Au 0.0000 0.3454 0.6546  4 Cu 2.84, 5 Au 2.89-2.94
7 Au 0.0000 0.6546 0.3454  4 Cu 2.84, 5 Au 2.89-2.94
8 Au 0.3454 0.6546 0.6546  4 Cu 2.84, 5 Au 2.89-2.94
9 Au 0.6546 0.3454 0.3454  4 Cu 2.84, 5 Au 2.89-2.94
10 Au 0.5000 0.7733 0.2267  4 Cu 2.71, 6 Au 2.91-3.00
11 Au 0.5000 0.2267 0.7733  4 Cu 2.71, 6 Au 2.91-3.00
12 Au 0.2733 0.2267 0.2267  4 Cu 2.71, 6 Au 2.91-3.00
13 Au 0.7267 0.7733 0.7733  4 Cu 2.71, 6 Au 2.91-3.00


Copy entry 1 word for word.
DFT (PBE) results for a relaxed structure of Ba2CuAu.

Results
Excess energy over the best structure of this formula in the dataset = 0.338 eV per atom
N(E_F) = 4.919 states/eV per cell
Calculated total energy = -0.20941 Ry/atom
Size of the total moment = 0.00 μB/cell
SG = F-43m (216)

Cell lengths 5.4268, 5.4268, 5.4268 Å; angles 60.00, 60.00, 60.00 degrees
Closest atoms and distances in Å follow each position.
Element x y z (fractional)
1 Au 0.5000 0.5000 0.5000  4 Cu 3.32, 4 Ba 3.32
2 Ba 0.0000 0.0000 0.0000  4 Ba 3.32, 4 Cu 3.32
3 Ba 0.2500 0.2500 0.2500  4 Ba 3.32, 4 Au 3.32
4 Cu 0.7500 0.7500 0.7500  4 Au 3.32, 4 Ba 3.32


- Among the records above, which one has the highest N(E_F)?
  number 3


Please write out number 3 again, unchanged.
DFT (PBE) results for a relaxed structure of Ba2CuAu.

Results
Excess energy over the best structure of this formula in the dataset = 0.300 eV per atom
N(E_F) = 10.130 states/eV per cell
Calculated total energy = -0.21218 Ry/atom
Size of the total moment = 0.00 μB/cell
SG = I-42d (122)

Cell lengths 8.6044, 8.6044, 7.3503 Å; angles 54.18, 54.18, 90.00 degrees
Closest atoms and distances in Å follow each position.
Element x y z (fractional)
1 Au 0.0000 0.0000 0.0000  4 Ba 3.25
2 Au 0.7500 0.2500 0.5000  4 Ba 3.25
3 Ba 0.6191 0.1250 0.2500  2 Cu 3.18, 2 Au 3.25
4 Ba 0.1309 0.6250 0.2500  2 Cu 3.18, 2 Au 3.25
5 Ba 0.3750 0.3809 0.7500  2 Cu 3.18, 2 Au 3.25
6 Ba 0.8750 0.8691 0.7500  2 Cu 3.18, 2 Au 3.25
7 Cu 0.5000 0.5000 0.0000  4 Ba 3.18
8 Cu 0.2500 0.7500 0.5000  4 Ba 3.18